{"formula": "BeAgTeO", "functional": "PBE", "state": "optimized geometry", "polymorph_energy_mev_per_atom": 34, "lattice": [[-2.5614, 4.6002, -2.3848], [-6.4413, -1.5087, 4.0081], [4.6614, 8.0499, 10.5212]], "species": ["Ag", "Ag", "Ag", "Ag", "Ag", "Ag", "Ag", "Ag", "Be", "Be", "Be", "Be", "Be", "Be", "Be", "Be", "O", "O", "O", "O", "O", "O", "O", "O", "Te", "Te", "Te", "Te", "Te", "Te", "Te", "Te"], "frac_coords": [[0.3340, 0.5710, 0.0611], [0.8340, 0.9290, 0.0611], [0.3340, 0.0710, 0.4389], [0.8340, 0.4290, 0.4389], [0.1660, 0.5710, 0.5611], [0.6660, 0.9290, 0.5611], [0.1660, 0.0710, 0.9389], [0.6660, 0.4290, 0.9389], [0.0197, 0.7491, 0.2269], [0.5197, 0.7509, 0.2269], [0.0197, 0.2491, 0.2731], [0.5197, 0.2509, 0.2731], [0.4803, 0.7491, 0.7269], [0.9803, 0.7509, 0.7269], [0.4803, 0.2491, 0.7731], [0.9803, 0.2509, 0.7731], [0.2697, 0.7425, 0.1961], [0.7697, 0.7575, 0.1961], [0.2697, 0.2425, 0.3039], [0.7697, 0.2575, 0.3039], [0.2303, 0.7425, 0.6961], [0.7303, 0.7575, 0.6961], [0.2303, 0.2425, 0.8039], [0.7303, 0.2575, 0.8039], [0.5101, 0.2116, 0.0895], [0.0101, 0.2884, 0.0895], [0.5101, 0.7116, 0.4105], [0.0101, 0.7884, 0.4105], [0.9899, 0.2116, 0.5895], [0.4899, 0.2884, 0.5895], [0.9899, 0.7116, 0.9106], [0.4899, 0.7884, 0.9106]]}



{"formula": "BeAgTeO", "functional": "PBE", "state": "optimized geometry", "polymorph_energy_mev_per_atom": 1151, "lattice": [[-1.8435, 2.7866, 2.1495], [-3.1157, -0.1639, -2.4597], [-3.6126, -6.2405, 4.9920]], "species": ["Ag", "Ag", "Be", "Be", "O", "O", "Te", "Te"], "frac_coords": [[0.7500, 0.7500, 0.4033], [0.2500, 0.2500, 0.5967], [0.7500, 0.7500, 0.1160], [0.2500, 0.2500, 0.8840], [0.7500, 0.2500, 0.5000], [0.2500, 0.7500, 0.5000], [0.2500, 0.2500, 0.1574], [0.7500, 0.7500, 0.8426]]}



{"formula": "BeAgTeO", "functional": "PBE", "state": "optimized geometry", "polymorph_energy_mev_per_atom": 501, "lattice": [[6.5610, 0.0000, 0.0000], [0.0000, 11.8185, 0.0000], [0.0000, 0.0000, 7.3838]], "species": ["Ag", "Ag", "Ag", "Ag", "Ag", "Ag", "Ag", "Ag", "Be", "Be", "Be", "Be", "Be", "Be", "Be", "Be", "O", "O", "O", "O", "O", "O", "O", "O", "Te", "Te", "Te", "Te", "Te", "Te", "Te", "Te"], "frac_coords": [[0.4323, 0.2534, 0.2363], [0.0677, 0.7534, 0.2363], [0.9323, 0.2534, 0.2637], [0.5677, 0.7534, 0.2637], [0.4323, 0.2466, 0.7363], [0.0677, 0.7466, 0.7363], [0.9323, 0.2466, 0.7637], [0.5677, 0.7466, 0.7637], [0.6549, 0.1056, 0.0415], [0.8451, 0.6056, 0.0415], [0.1549, 0.1056, 0.4585], [0.3451, 0.6056, 0.4585], [0.6549, 0.3944, 0.5415], [0.8451, 0.8944, 0.5415], [0.1549, 0.3944, 0.9585], [0.3451, 0.8944, 0.9585], [0.6976, 0.2277, 0.0505], [0.8024, 0.7277, 0.0505], [0.1976, 0.2277, 0.4495], [0.3024, 0.7277, 0.4495], [0.6976, 0.2723, 0.5505], [0.8024, 0.7723, 0.5505], [0.1976, 0.2723, 0.9495], [0.3024, 0.7723, 0.9495], [0.5828, 0.4891, 0.2469], [0.9172, 0.9891, 0.2469], [0.0828, 0.4891, 0.2531], [0.4172, 0.9891, 0.2531], [0.5828, 0.0109, 0.7469], [0.9172, 0.5109, 0.7469], [0.0828, 0.0109, 0.7531], [0.4172, 0.5109, 0.7531]]}



{"formula": "BeAgTeO", "functional": "PBE", "state": "optimized geometry", "polymorph_energy_mev_per_atom": 953, "lattice": [[6.3214, 0.0000, 0.0000], [0.0000, 7.7028, 0.0000], [0.0000, 0.0000, 5.1855]], "species": ["Ag", "Ag", "Ag", "Ag", "Be", "Be", "Be", "Be", "O", "O", "O", "O", "Te", "Te", "Te", "Te"], "frac_coords": [[0.5942, 0.1284, 0.3984], [0.0942, 0.8716, 0.3984], [0.9058, 0.1284, 0.8984], [0.4058, 0.8716, 0.8984], [0.2485, 0.1117, 0.1389], [0.7485, 0.8883, 0.1389], [0.2515, 0.1117, 0.6389], [0.7515, 0.8883, 0.6389], [0.6271, 0.4584, 0.3214], [0.1271, 0.5416, 0.3214], [0.8729, 0.4584, 0.8214], [0.3729, 0.5416, 0.8214], [0.0167, 0.3151, 0.3912], [0.5167, 0.6849, 0.3912], [0.4833, 0.3151, 0.8912], [0.9833, 0.6849, 0.8912]]}



{"formula": "BeAgTeO", "functional": "PBE", "state": "optimized geometry", "polymorph_energy_mev_per_atom": 74, "lattice": [[-2.1473, -2.5002, 0.8331], [0.2627, -1.2724, -3.1414], [9.1971, -6.7340, 3.4966]], "species": ["Ag", "Ag", "Be", "Be", "O", "O", "Te", "Te"], "frac_coords": [[0.7500, 0.7500, 0.2628], [0.2500, 0.2500, 0.7372], [0.2500, 0.2500, 0.4963], [0.7500, 0.7500, 0.5037], [0.7500, 0.2500, 0.5000], [0.2500, 0.7500, 0.5000], [0.2500, 0.2500, 0.1271], [0.7500, 0.7500, 0.8729]]}



{"formula": "BeAgTeO", "functional": "PBE", "state": "optimized geometry", "polymorph_energy_mev_per_atom": 722, "lattice": [[-4.0922, -2.1352, 0.3208], [2.1424, -3.9302, 1.1712], [-0.4105, 1.8141, 6.8382]], "species": ["Ag", "Ag", "Be", "Be", "O", "O", "Te", "Te"], "frac_coords": [[0.7500, 0.7500, 0.2012], [0.2500, 0.2500, 0.7988], [0.2500, 0.2500, 0.2876], [0.7500, 0.7500, 0.7124], [0.2500, 0.2500, 0.0925], [0.7500, 0.7500, 0.9075], [0.7500, 0.2500, 0.5000], [0.2500, 0.7500, 0.5000]]}



What did the third record say?
{"formula": "BeAgTeO", "functional": "PBE", "state": "optimized geometry", "polymorph_energy_mev_per_atom": 501, "lattice": [[6.5610, 0.0000, 0.0000], [0.0000, 11.8185, 0.0000], [0.0000, 0.0000, 7.3838]], "species": ["Ag", "Ag", "Ag", "Ag", "Ag", "Ag", "Ag", "Ag", "Be", "Be", "Be", "Be", "Be", "Be", "Be", "Be", "O", "O", "O", "O", "O", "O", "O", "O", "Te", "Te", "Te", "Te", "Te", "Te", "Te", "Te"], "frac_coords": [[0.4323, 0.2534, 0.2363], [0.0677, 0.7534, 0.2363], [0.9323, 0.2534, 0.2637], [0.5677, 0.7534, 0.2637], [0.4323, 0.2466, 0.7363], [0.0677, 0.7466, 0.7363], [0.9323, 0.2466, 0.7637], [0.5677, 0.7466, 0.7637], [0.6549, 0.1056, 0.0415], [0.8451, 0.6056, 0.0415], [0.1549, 0.1056, 0.4585], [0.3451, 0.6056, 0.4585], [0.6549, 0.3944, 0.5415], [0.8451, 0.8944, 0.5415], [0.1549, 0.3944, 0.9585], [0.3451, 0.8944, 0.9585], [0.6976, 0.2277, 0.0505], [0.8024, 0.7277, 0.0505], [0.1976, 0.2277, 0.4495], [0.3024, 0.7277, 0.4495], [0.6976, 0.2723, 0.5505], [0.8024, 0.7723, 0.5505], [0.1976, 0.2723, 0.9495], [0.3024, 0.7723, 0.9495], [0.5828, 0.4891, 0.2469], [0.9172, 0.9891, 0.2469], [0.0828, 0.4891, 0.2531], [0.4172, 0.9891, 0.2531], [0.5828, 0.0109, 0.7469], [0.9172, 0.5109, 0.7469], [0.0828, 0.0109, 0.7531], [0.4172, 0.5109, 0.7531]]}